Arrangement A

Material: BeSnTeI2
Method: DFT, PBE-GGA
State: optimized geometry

As for the total magnetization: 0.00 μB per atom. Its symmetry is No. 123.

a b c (Å): 5.9546 5.9546 5.8506
angles (deg): 90.00 90.00 90.00
With the nearest neighbours (Å) after each atom.
Element x y z (fractional)
Te  0.0000  0.0000  0.5000  2 Sn 2.93
I  0.5000  0.0000  0.0000  2 Sn 2.98
I  0.0000  0.5000  0.0000  2 Sn 2.98
Sn  0.0000  0.0000  0.0000  2 Te 2.93, 4 I 2.98
Be  0.5000  0.5000  0.5000  8 I 4.17, 4 Te 4.21

Arrangement B

Material: BeSnTeI2
Method: DFT, PBE-GGA
State: optimized geometry

As for the total magnetization: 0.00 μB per atom. Its symmetry is No. 123.

a b c (Å): 5.1568 5.1568 5.4928
angles (deg): 90.00 90.00 90.00
With the nearest neighbours (Å) after each atom.
Element x y z (fractional)
Be  0.0000  0.0000  0.0000  4 I 2.58, 2 Te 2.75
Sn  0.5000  0.5000  0.5000  4 Te 3.65, 8 I 3.77
I  0.0000  0.5000  0.0000  2 Be 2.58
I  0.5000  0.0000  0.0000  2 Be 2.58
Te  0.0000  0.0000  0.5000  2 Be 2.75

Which one sits at the bottom of the stability order? arrangement A does.